Density functional theory data (PBE) for a relaxed structure of KZnRh2.

As for the formation energy: 0.434 eV/atom. The volume is 18.94 Å³ per atom.

a = 6.0049 Å, b = 6.0049 Å, c = 6.0049 Å
α = 153.17°, β = 128.72°, γ = 58.81°
Element x y z (fractional)
Zn 0.5402 0.5402 0.0000
Rh 0.9600 0.9600 0.0000
Rh 0.7523 0.2523 0.5000
K 0.2475 0.7475 0.5000

Density functional theory data (PBE) for a relaxed structure of KZnRh2.

As for the formation energy: 0.523 eV/atom. The volume is 24.58 Å³ per atom.

a = 4.6826 Å, b = 4.6826 Å, c = 9.5598 Å
α = 75.82°, β = 75.82°, γ = 90.00°
Element x y z (fractional)
Rh 0.8750 0.0494 0.7500
Zn 0.0000 0.0000 0.0000
Rh 0.9506 0.6250 0.2500
Zn 0.7500 0.2500 0.5000
K 0.5000 0.5000 0.0000
K 0.2500 0.7500 0.5000
Rh 0.3750 0.2006 0.7500
Rh 0.7994 0.1250 0.2500

> Which of these has the lowest volume?

number 1

> Among the records above, which one has the highest volume?

number 2

> Which of these has the lowest volume?

number 1